{"formula": "Fe3O3F", "functional": "GGA+U", "state": "optimized geometry", "cell": [[-2.119, -2.193, -0.982], [2.780, 0.918, -4.564], [2.619, -2.715, 3.895]], "species": ["O", "O", "O", "Fe", "Fe", "Fe", "F"], "frac_coords": [[0.009, 0.587, 0.000], [0.009, 0.000, 0.587], [0.421, 0.413, 0.413], [0.425, 0.000, 0.355], [0.070, 0.645, 0.645], [0.425, 0.355, 0.000], [0.617, 0.000, 0.000]], "dft_energy_ha_per_atom": -0.2299, "dos_ef_per_ev_atom": 0.477, "sg": "No. 160"}